A plane-wave DFT calculation with PBE was carried out for a relaxed LaTl2SiSn crystal.

Cell: 5.218 5.814 5.218 Å, 90.00 90.00 90.00°
Fractional positions:
Si 0.000 0.000 0.000
Tl 0.000 0.000 0.500
Tl 0.500 0.000 0.000
Sn 0.500 0.500 0.500
La 0.000 0.500 0.000

Its uncorrected formation energy is 0.4 eV per formula unit. As for the total energy: -3.734 eV/atom.